(1)
Material: Tb3SmHo
Method: DFT, GGA-PBE
State: optimized geometry

Calculated values
Its theoretical density is 7.5 g/cm3. The value obtained for the density of states at the Fermi level is 1.654 states/eV/atom. The value obtained for the energy above the lowest structure with this stoichiometry is 285 meV per atom. As for the total magnetization: 0.00 μB/f.u. Its symmetry is P2_1/m.

Cell: 3.607 8.549 11.621 Å, 90.00 90.00 102.08°
Positions (direct):
Sm (0.005, 0.483, 0.750)
Sm (0.995, 0.517, 0.250)
Tb (0.156, 0.809, 0.999)
Tb (0.844, 0.191, 0.499)
Tb (0.323, 0.137, 0.750)
Tb (0.844, 0.191, 0.001)
Tb (0.677, 0.863, 0.250)
Tb (0.156, 0.809, 0.501)
Ho (0.664, 0.818, 0.750)
Ho (0.336, 0.182, 0.250)



(2)
Material: AlTcW
Method: DFT, GGA-PBE
State: optimized geometry

Calculated values
Its theoretical density is 11.2 g/cm3. The value obtained for the density of states at the Fermi level is 0.861 states/eV/atom. The value obtained for the energy above the lowest structure with this stoichiometry is 222 meV per atom. As for the total magnetization: 0.00 μB/f.u. Its symmetry is Fmm2.

Cell: 6.876 6.673 2.749 Å, 82.49 74.17 23.35°
Positions (direct):
W (0.332, 0.332, 0.668)
Al (0.003, 0.003, 0.997)
Tc (0.665, 0.665, 0.335)



(3)
Material: TbMg3Hg3
Method: DFT, GGA-PBE
State: optimized geometry

Calculated values
The value obtained for the energy is -17.21 eV per cell. Its theoretical density is 6.7 g/cm3. The value obtained for the density of states at the Fermi level is 0.763 states/eV/atom. As for the total magnetization: 0.00 μB/f.u. Its symmetry is Pm-3n.

Cell: 7.465 7.465 7.465 Å, 90.00 90.00 90.00°
Positions (direct):
Hg (0.750, 0.000, 0.500)
Hg (0.500, 0.250, 0.000)
Hg (0.000, 0.500, 0.250)
Hg (0.000, 0.500, 0.750)
Hg (0.250, 0.000, 0.500)
Hg (0.500, 0.750, 0.000)
Mg (0.500, 0.000, 0.750)
Mg (0.000, 0.750, 0.500)
Mg (0.500, 0.000, 0.250)
Mg (0.000, 0.250, 0.500)
Mg (0.750, 0.500, 0.000)
Mg (0.250, 0.500, 0.000)
Tb (0.000, 0.000, 0.000)
Tb (0.500, 0.500, 0.500)



(4)
Material: Pm6Er5In
Method: DFT, GGA-PBE
State: optimized geometry

Calculated values
The value obtained for the energy is -54.75 eV per cell. Its theoretical density is 8.0 g/cm3. The value obtained for the density of states at the Fermi level is 1.347 states/eV/atom. As for the total magnetization: 0.00 μB/f.u. Its symmetry is Immm.

Cell: 5.024 9.412 9.412 Å, 107.53 105.48 105.48°
Positions (direct):
Er (0.500, 0.500, 0.500)
Er (0.000, 0.664, 0.336)
Er (0.500, 0.833, 0.167)
Er (0.000, 0.336, 0.664)
Er (0.500, 0.167, 0.833)
Pm (0.754, 0.920, 0.588)
Pm (0.745, 0.245, 0.245)
Pm (0.246, 0.080, 0.412)
Pm (0.754, 0.588, 0.920)
Pm (0.255, 0.755, 0.755)
Pm (0.246, 0.412, 0.080)
In (0.000, 0.000, 0.000)



(5)
Material: MgZrSe2
Method: DFT, GGA-PBE
State: optimized geometry

Calculated values
The calculation puts the raw formation energy at -388 kJ/mol of formula units. Its theoretical density is 5.8 g/cm3. The value obtained for the density of states at the Fermi level is 0.314 states/eV/atom. As for the total magnetization: 0.00 μB/f.u. Its symmetry is P4/mmm.

Cell: 3.433 3.433 6.693 Å, 90.00 90.00 90.00°
Positions (direct):
Se (0.000, 0.000, 0.015)
Se (0.000, 0.000, 0.485)
Mg (0.500, 0.500, 0.750)
Zr (0.500, 0.500, 0.250)



(6)
Material: K2NaSn10
Method: DFT, GGA-PBE
State: optimized geometry

Calculated values
The value obtained for the energy is -87.73 eV per cell. Its theoretical density is 4.2 g/cm3. The value obtained for the density of states at the Fermi level is 0.346 states/eV/atom. As for the total magnetization: 0.00 μB/f.u. Its symmetry is Pbam.

Cell: 6.575 11.914 12.861 Å, 90.00 90.00 90.00°
Positions (direct):
Sn (0.263, 0.232, 0.143)
Sn (0.000, 0.060, 0.253)
Sn (0.263, 0.268, 0.643)
Sn (0.000, 0.178, 0.812)
Sn (0.000, 0.822, 0.188)
Sn (0.000, 0.440, 0.753)
Sn (0.000, 0.367, 0.995)
Sn (0.263, 0.768, 0.857)
Sn (0.737, 0.268, 0.643)
Sn (0.000, 0.560, 0.247)
Sn (0.000, 0.633, 0.005)
Sn (0.737, 0.768, 0.857)
Sn (0.000, 0.322, 0.312)
Sn (0.737, 0.232, 0.143)
Sn (0.000, 0.678, 0.688)
Sn (0.000, 0.133, 0.495)
Sn (0.000, 0.867, 0.505)
Sn (0.737, 0.732, 0.357)
Sn (0.000, 0.940, 0.747)
Sn (0.263, 0.732, 0.357)
K (0.500, 0.682, 0.109)
K (0.500, 0.182, 0.391)
K (0.500, 0.318, 0.891)
K (0.500, 0.818, 0.609)
Na (0.000, 0.500, 0.500)
Na (0.000, 0.000, 0.000)



(7)
Material: BeVTeI2
Method: DFT, GGA-PBE
State: optimized geometry

Calculated values
The calculation puts the raw formation energy at 293 kJ/mol of formula units. Its theoretical density is 4.5 g/cm3. The value obtained for the density of states at the Fermi level is 1.086 states/eV/atom. The value obtained for the energy above the lowest structure with this stoichiometry is 9 meV per atom. As for the total magnetization: 1.22 μB/f.u. Its symmetry is P4/mmm.

Cell: 5.601 5.601 5.179 Å, 90.00 90.00 90.00°
Positions (direct):
Be (0.500, 0.500, 0.500)
I (0.500, 0.000, 0.000)
I (0.000, 0.500, 0.000)
Te (0.000, 0.000, 0.500)
V (0.000, 0.000, 0.000)



(8)
Material: KInPCl2
Method: DFT, GGA-PBE
State: optimized geometry

Calculated values
The calculation puts the raw formation energy at -23 kJ/mol of formula units. Its theoretical density is 2.3 g/cm3. The value obtained for the energy above the lowest structure with this stoichiometry is 578 meV per atom. As for the total magnetization: 3.05 μB/f.u. Its symmetry is P4/mmm.

Cell: 5.729 5.729 5.668 Å, 90.00 90.00 90.00°
Positions (direct):
P (0.000, 0.000, 0.500)
K (0.000, 0.000, 0.000)
Cl (0.000, 0.500, 0.000)
Cl (0.500, 0.000, 0.000)
In (0.500, 0.500, 0.500)



(9)
Material: Rb2PmF5
Method: DFT, GGA-PBE
State: optimized geometry

Calculated values
The calculation puts the raw formation energy at -2554 kJ/mol of formula units. Its theoretical density is 2.4 g/cm3. The value obtained for the density of states at the Fermi level is 0.000 states/eV/atom. The value obtained for the energy above the lowest structure with this stoichiometry is 147 meV per atom. As for the total magnetization: 0.22 μB/f.u. Its symmetry is P1.

Cell: 7.155 7.155 7.503 Å, 123.67 109.01 94.58°
Positions (direct):
F (0.254, 0.291, 0.129)
F (0.800, 0.196, 0.996)
F (0.837, 0.874, 0.128)
F (0.917, 0.678, 0.595)
F (0.261, 0.902, 0.164)
Rb (0.078, 0.660, 0.286)
Rb (0.627, 0.208, 0.286)
Pm (0.002, 0.969, 0.971)



(10)
Material: Cd2SbPb
Method: DFT, GGA-PBE
State: optimized geometry

Calculated values
The calculation puts the raw formation energy at 38 kJ/mol of formula units. Its theoretical density is 8.6 g/cm3. The value obtained for the density of states at the Fermi level is 0.520 states/eV/atom. The value obtained for the energy above the lowest structure with this stoichiometry is 36 meV per atom. As for the total magnetization: 0.00 μB/f.u. Its symmetry is R3m.

Cell: 10.816 10.816 10.816 Å, 18.14 18.14 18.14°
Positions (direct):
Sb (0.742, 0.742, 0.742)
Cd (0.998, 0.998, 0.998)
Cd (0.257, 0.257, 0.257)
Pb (0.504, 0.504, 0.504)



(11)
Material: Li3CaAg2
Method: DFT, GGA-PBE
State: optimized geometry

Calculated values
The value obtained for the energy is -29.21 eV per cell. Its theoretical density is 3.8 g/cm3. The value obtained for the density of states at the Fermi level is 0.383 states/eV/atom. As for the total magnetization: 0.00 μB/f.u. Its symmetry is C2/m.

Cell: 4.330 7.440 9.325 Å, 120.41 90.00 106.92°
Positions (direct):
Li (0.729, 0.458, 0.570)
Li (0.943, 0.886, 0.602)
Li (0.057, 0.114, 0.398)
Li (0.578, 0.156, 0.691)
Li (0.271, 0.542, 0.430)
Li (0.422, 0.844, 0.309)
Ag (0.202, 0.403, 0.730)
Ag (0.576, 0.153, 0.209)
Ag (0.798, 0.597, 0.270)
Ag (0.424, 0.847, 0.791)
Ca (0.132, 0.265, 0.009)
Ca (0.868, 0.735, 0.991)



(12)
Material: ZrGeI2
Method: DFT, GGA-PBE
State: optimized geometry

Calculated values
The calculation puts the raw formation energy at 49 kJ/mol of formula units. Its theoretical density is 7.0 g/cm3. The value obtained for the density of states at the Fermi level is 0.649 states/eV/atom. The value obtained for the energy above the lowest structure with this stoichiometry is 0 meV per atom. As for the total magnetization: 0.00 μB/f.u. Its symmetry is Fm-3m.

Cell: 5.194 5.194 5.194 Å, 60.00 60.00 60.00°
Positions (direct):
I (0.750, 0.750, 0.750)
I (0.250, 0.250, 0.250)
Ge (0.000, 0.000, 0.000)
Zr (0.500, 0.500, 0.500)



Which value of theoretical density does entry 1 give? 7.5 g/cm3



Which value of theoretical density does entry 11 give? 3.8 g/cm3